No. 1
The following is a meta-GGA SCAN calculation of a PBEsol-optimized structure of FeW2Au, from the Alexandria database.

Unit cell a=4.392 b=4.392 c=4.392 alpha=60.00 beta=60.00 gamma=60.00
Positions (direct):
1 Fe 0.000 0.000 0.000
2 W 0.250 0.250 0.250
3 W 0.500 0.500 0.500
4 Au 0.750 0.750 0.750

## Properties
Space-group type: No. 216
VASP energy, eV per atom: -56.21
Calculated formation energy, eV per atom: 0.46
Excess energy over the best structure of this formula in the dataset, meV per atom: 177
M_tot, Bohr magnetons per cell: 3.0

No. 2
The following is a meta-GGA SCAN calculation of a PBEsol-optimized structure of Fe2WAu, from the Alexandria database.

Unit cell a=3.080 b=3.080 c=5.630 alpha=90.00 beta=90.00 gamma=90.00
Positions (direct):
1 Fe 0.000 0.000 0.225
2 Fe 0.000 0.000 0.775
3 W 0.500 0.500 0.000
4 Au 0.500 0.500 0.500

## Properties
Space-group type: No. 123
VASP energy, eV per atom: -43.55
Calculated formation energy, eV per atom: 0.22
Excess energy over the best structure of this formula in the dataset, meV per atom: 67
M_tot, Bohr magnetons per cell: 4.3

> excess energy over the best structure of this formula in the dataset of number 1 (FeW2Au)?

177 meV per atom

> What is the excess energy over the best structure of this formula in the dataset in the second record?

67 meV per atom